# 1
The following is a DFT calculation (PBE) of a geometry-optimized Tb4ZnCu2Os structure.

symmetry	R-3m, No. 166
DFT total energy	-41.43	eV for the cell shown
ΔH_f (0 K)	-2.2	eV per formula unit

extended XYZ file:
```
8
Lattice="-0.3718 -2.4024 4.3163 -2.3464 -4.3576 0.2153 6.0251 -6.0606 -0.0115" Properties=species:S:1:pos:R:3 pbc="T T T"
Tb 4.1408 -7.7767 1.7138
Tb -0.0196 -8.2423 3.9390
Tb 3.3265 -4.5783 0.5811
Tb -0.8340 -5.0440 2.8063
Zn 0.0000 0.0000 0.0000
Cu 0.7194 -3.1462 1.1536
Cu 2.5874 -9.6744 3.3665
Os 1.6534 -6.4103 2.2600
```

=====

# 2
The following is a DFT calculation (PBE) of a geometry-optimized Cs2ScCu2Te6 structure.

symmetry	C2/m, No. 12
DFT total energy	-41.16	eV for the cell shown
raw formation energy	-0.55	eV per atom

extended XYZ file:
```
11
Lattice="-3.6349 -2.0014 4.7446 0.2549 -4.7447 -5.9930 8.4929 -1.6002 5.8315" Properties=species:S:1:pos:R:3 pbc="T T T"
Te 1.8487 -4.4724 3.7165
Te 1.5971 -4.9690 -2.9219
Te 3.2642 -3.8740 0.8666
Te -0.1821 -5.9486 -0.5995
Te 3.5158 -3.3774 7.5050
Te 5.2950 -2.3978 5.1826
Cu 2.5925 -6.7899 3.3088
Cu 2.5203 -1.5565 1.2743
Cs 6.2580 -5.1715 2.6129
Cs -1.1451 -3.1749 1.9702
Sc 2.4290 -1.8008 5.2881
```